Record 1
# Pt4RhW, relaxed, DFT GGA-PBE
data_Pt4RhW
_chemical_formula_sum 'Pt16 Rh4 W4'
_cell_length_a 7.3022
_cell_length_b 7.3022
_cell_length_c 7.3022
_cell_angle_alpha 90.00
_cell_angle_beta 90.00
_cell_angle_gamma 90.00
_symmetry_space_group_name_H-M 'F -4 3 m'
_symmetry_Int_Tables_number 216
_symmetry_space_group_name_Hall 'F -4 2 3'
loop_
_atom_site_label
_atom_site_type_symbol
_atom_site_fract_x
_atom_site_fract_y
_atom_site_fract_z
Pt1 Pt 0.1250 0.1250 0.1250
Rh1 Rh 0.2500 0.2500 0.7500
W1 W 0.0000 0.0000 0.5000
# - Energy relative to the lowest polymorph listed for this composition: 0.438 eV/atom
# - Total magnetization: 0.00 μB/atom
# - Energy of formation: 237 meV/atom

Record 2
# Pt2Rh8W, relaxed, DFT GGA-PBE
data_Pt2Rh8W
_chemical_formula_sum 'Pt4 Rh16 W2'
_cell_length_a 7.9973
_cell_length_b 10.4600
_cell_length_c 4.1038
_cell_angle_alpha 90.00
_cell_angle_beta 90.00
_cell_angle_gamma 90.00
_symmetry_space_group_name_H-M 'C m m m'
_symmetry_Int_Tables_number 65
_symmetry_space_group_name_Hall '-C 2 2'
loop_
_atom_site_label
_atom_site_type_symbol
_atom_site_fract_x
_atom_site_fract_y
_atom_site_fract_z
Pt1 Pt 0.0000 0.1226 0.0000
Rh1 Rh 0.0000 0.2583 0.5000
Rh2 Rh 0.1644 0.3724 0.0000
Rh3 Rh 0.1729 0.0000 0.5000
W1 W 0.0000 0.5000 0.5000
# - Total magnetization: 0.00 μB/atom
# - Energy of formation: 122 meV/atom

Record 3
# Pt4Rh2W, relaxed, DFT GGA-PBE
data_Pt4Rh2W
_chemical_formula_sum 'Pt8 Rh4 W2'
_cell_length_a 8.7908
_cell_length_b 3.9076
_cell_length_c 6.2630
_cell_angle_alpha 90.00
_cell_angle_beta 98.69
_cell_angle_gamma 90.00
_symmetry_space_group_name_H-M 'C 1 2/m 1'
_symmetry_Int_Tables_number 12
loop_
_symmetry_equiv_pos_as_xyz
'x,y,z'
'-x,-y,-z'
'-x,y,-z'
'x,-y,z'
'x+1/2,y+1/2,z'
'-x+1/2,-y+1/2,-z'
'-x+1/2,y+1/2,-z'
'x+1/2,-y+1/2,z'
loop_
_atom_site_label
_atom_site_type_symbol
_atom_site_fract_x
_atom_site_fract_y
_atom_site_fract_z
Pt1 Pt 0.0664 0.0000 0.2189
Pt2 Pt 0.1474 0.5000 0.9193
Rh1 Rh 0.2117 0.0000 0.6300
W1 W 0.0000 0.5000 0.5000
# - Total magnetization: 0.00 μB/atom
# - Energy of formation: -222 meV/atom

Record 4
# PtRhW2, relaxed, DFT GGA-PBE
data_PtRhW2
_chemical_formula_sum 'Pt2 Rh2 W4'
_cell_length_a 5.4955
_cell_length_b 8.0968
_cell_length_c 2.7474
_cell_angle_alpha 90.00
_cell_angle_beta 90.00
_cell_angle_gamma 90.00
_symmetry_space_group_name_H-M 'C m m m'
_symmetry_Int_Tables_number 65
_symmetry_space_group_name_Hall '-C 2 2'
loop_
_atom_site_label
_atom_site_type_symbol
_atom_site_fract_x
_atom_site_fract_y
_atom_site_fract_z
Pt1 Pt 0.0000 0.0000 0.0000
Rh1 Rh 0.0000 0.5000 0.0000
W1 W 0.2500 0.2500 0.5000
# - Energy relative to the lowest polymorph listed for this composition: 0.042 eV/atom
# - Total magnetization: 0.00 μB/atom
# - Energy of formation: -192 meV/atom

Record 5
# PtRh3W, relaxed, DFT GGA-PBE
data_PtRh3W
_chemical_formula_sum 'Pt4 Rh12 W4'
_cell_length_a 3.9035
_cell_length_b 11.4066
_cell_length_c 7.4109
_cell_angle_alpha 90.00
_cell_angle_beta 90.00
_cell_angle_gamma 90.00
_symmetry_space_group_name_H-M 'C m c m'
_symmetry_Int_Tables_number 63
_symmetry_space_group_name_Hall '-C 2c 2'
loop_
_atom_site_label
_atom_site_type_symbol
_atom_site_fract_x
_atom_site_fract_y
_atom_site_fract_z
Pt1 Pt 0.0000 0.0000 0.0000
Rh1 Rh 0.0000 0.1667 0.2500
Rh2 Rh 0.0000 0.3409 0.0094
W1 W 0.0000 0.1793 0.7500
# - Energy relative to the lowest polymorph listed for this composition: 0.274 eV/atom
# - Total magnetization: 0.00 μB/atom
# - Energy of formation: 91 meV/atom

Record 6
# PtRhW2, relaxed, DFT GGA-PBE
data_PtRhW2
_chemical_formula_sum 'Pt1 Rh1 W2'
_cell_length_a 2.7690
_cell_length_b 2.7690
_cell_length_c 8.0958
_cell_angle_alpha 90.00
_cell_angle_beta 90.00
_cell_angle_gamma 90.00
_symmetry_space_group_name_H-M 'P 4 m m'
_symmetry_Int_Tables_number 99
loop_
_symmetry_equiv_pos_as_xyz
'x,y,z'
'-y,x,z'
'-x,-y,z'
'y,-x,z'
'-x,y,z'
'y,x,z'
'x,-y,z'
'-y,-x,z'
loop_
_atom_site_label
_atom_site_type_symbol
_atom_site_fract_x
_atom_site_fract_y
_atom_site_fract_z
Pt1 Pt 0.0000 0.0000 0.0000
Rh1 Rh 0.5000 0.5000 0.2626
W1 W 0.0000 0.0000 0.4900
W2 W 0.5000 0.5000 0.7594
# - Energy relative to the lowest polymorph listed for this composition: 0.081 eV/atom
# - Total magnetization: 0.00 μB/atom
# - Energy of formation: -152 meV/atom

Record 7
# Pt3RhW, relaxed, DFT GGA-PBE
data_Pt3RhW
_chemical_formula_sum 'Pt12 Rh4 W4'
_cell_length_a 4.8299
_cell_length_b 13.9632
_cell_length_c 4.8237
_cell_angle_alpha 90.00
_cell_angle_beta 109.99
_cell_angle_gamma 90.00
_symmetry_space_group_name_H-M 'C 1 2/c 1'
_symmetry_Int_Tables_number 15
loop_
_symmetry_equiv_pos_as_xyz
'x,y,z'
'-x,-y,-z'
'-x,y,-z+1/2'
'x,-y,z+1/2'
'x+1/2,y+1/2,z'
'-x+1/2,-y+1/2,-z'
'-x+1/2,y+1/2,-z+1/2'
'x+1/2,-y+1/2,z+1/2'
loop_
_atom_site_label
_atom_site_type_symbol
_atom_site_fract_x
_atom_site_fract_y
_atom_site_fract_z
Pt1 Pt 0.0000 0.0520 0.2500
Pt2 Pt 0.0000 0.2493 0.2500
Pt3 Pt 0.0000 0.4458 0.2500
Rh1 Rh 0.0000 0.3445 0.7500
W1 W 0.0000 0.1492 0.7500
# - Energy relative to the lowest polymorph listed for this composition: 0.000 eV/atom
# - Total magnetization: 0.00 μB/atom
# - Energy of formation: -253 meV/atom

Record 8
# PtRhW2, relaxed, DFT GGA-PBE
data_PtRhW2
_chemical_formula_sum 'Pt1 Rh1 W2'
_cell_length_a 2.7628
_cell_length_b 4.4884
_cell_length_c 4.9223
_cell_angle_alpha 90.00
_cell_angle_beta 90.00
_cell_angle_gamma 90.00
_symmetry_space_group_name_H-M 'P m m 2'
_symmetry_Int_Tables_number 25
loop_
_symmetry_equiv_pos_as_xyz
'x,y,z'
'-x,-y,z'
'-x,y,z'
'x,-y,z'
loop_
_atom_site_label
_atom_site_type_symbol
_atom_site_fract_x
_atom_site_fract_y
_atom_site_fract_z
Pt1 Pt 0.0000 0.0000 0.0000
Rh1 Rh 0.0000 0.5000 0.6631
W1 W 0.5000 0.0000 0.5014
W2 W 0.5000 0.5000 0.1669
# - Energy relative to the lowest polymorph listed for this composition: 0.000 eV/atom
# - Total magnetization: 0.00 μB/atom
# - Energy of formation: -234 meV/atom

Record 9
# PtRh3W, relaxed, DFT GGA-PBE
data_PtRh3W
_chemical_formula_sum 'Pt1 Rh3 W1'
_cell_length_a 4.6752
_cell_length_b 4.6752
_cell_length_c 4.6752
_cell_angle_alpha 90.00
_cell_angle_beta 90.00
_cell_angle_gamma 90.00
_symmetry_space_group_name_H-M 'P m -3 m'
_symmetry_Int_Tables_number 221
_symmetry_space_group_name_Hall '-P 4 2 3'
loop_
_atom_site_label
_atom_site_type_symbol
_atom_site_fract_x
_atom_site_fract_y
_atom_site_fract_z
Pt1 Pt 0.0000 0.0000 0.0000
Rh1 Rh 0.0000 0.0000 0.5000
W1 W 0.5000 0.5000 0.5000
# - Energy relative to the lowest polymorph listed for this composition: 2.266 eV/atom
# - Total magnetization: 0.00 μB/atom
# - Energy of formation: 2083 meV/atom

Record 10
# Pt8Rh2W, relaxed, DFT GGA-PBE
data_Pt8Rh2W
_chemical_formula_sum 'Pt16 Rh4 W2'
_cell_length_a 7.7113
_cell_length_b 12.1709
_cell_length_c 5.2757
_cell_angle_alpha 90.00
_cell_angle_beta 132.92
_cell_angle_gamma 90.00
_symmetry_space_group_name_H-M 'C 1 2/m 1'
_symmetry_Int_Tables_number 12
loop_
_symmetry_equiv_pos_as_xyz
'x,y,z'
'-x,-y,-z'
'-x,y,-z'
'x,-y,z'
'x+1/2,y+1/2,z'
'-x+1/2,-y+1/2,-z'
'-x+1/2,y+1/2,-z'
'x+1/2,-y+1/2,z'
loop_
_atom_site_label
_atom_site_type_symbol
_atom_site_fract_x
_atom_site_fract_y
_atom_site_fract_z
Pt1 Pt 0.0000 0.2221 0.0000
Pt2 Pt 0.1160 0.5000 0.3901
Pt3 Pt 0.2025 0.1101 0.8235
Rh1 Rh 0.0000 0.3070 0.5000
W1 W 0.0000 0.0000 0.0000
# - Total magnetization: 0.00 μB/atom
# - Energy of formation: 73 meV/atom

Record 11
# PtRhW2, relaxed, DFT GGA-PBE
data_PtRhW2
_chemical_formula_sum 'Pt2 Rh2 W4'
_cell_length_a 9.3182
_cell_length_b 2.8066
_cell_length_c 4.8036
_cell_angle_alpha 90.00
_cell_angle_beta 100.34
_cell_angle_gamma 90.00
_symmetry_space_group_name_H-M 'C 1 2/m 1'
_symmetry_Int_Tables_number 12
loop_
_symmetry_equiv_pos_as_xyz
'x,y,z'
'-x,-y,-z'
'-x,y,-z'
'x,-y,z'
'x+1/2,y+1/2,z'
'-x+1/2,-y+1/2,-z'
'-x+1/2,y+1/2,-z'
'x+1/2,-y+1/2,z'
loop_
_atom_site_label
_atom_site_type_symbol
_atom_site_fract_x
_atom_site_fract_y
_atom_site_fract_z
Pt1 Pt 0.0000 0.0000 0.0000
Rh1 Rh 0.0000 0.5000 0.5000
W1 W 0.2489 0.0000 0.7469
# - Energy relative to the lowest polymorph listed for this composition: 0.185 eV/atom
# - Total magnetization: 0.00 μB/atom
# - Energy of formation: -49 meV/atom

Record 12
# Pt2Rh2W, relaxed, DFT GGA-PBE
data_Pt2Rh2W
_chemical_formula_sum 'Pt4 Rh4 W2'
_cell_length_a 8.7493
_cell_length_b 3.8977
_cell_length_c 6.1961
_cell_angle_alpha 90.00
_cell_angle_beta 134.70
_cell_angle_gamma 90.00
_symmetry_space_group_name_H-M 'C 1 2/m 1'
_symmetry_Int_Tables_number 12
loop_
_symmetry_equiv_pos_as_xyz
'x,y,z'
'-x,-y,-z'
'-x,y,-z'
'x,-y,z'
'x+1/2,y+1/2,z'
'-x+1/2,-y+1/2,-z'
'-x+1/2,y+1/2,-z'
'x+1/2,-y+1/2,z'
loop_
_atom_site_label
_atom_site_type_symbol
_atom_site_fract_x
_atom_site_fract_y
_atom_site_fract_z
Pt1 Pt 0.2039 0.0000 0.1028
Rh1 Rh 0.1068 0.5000 0.3124
W1 W 0.0000 0.0000 0.5000
# - Total magnetization: 0.00 μB/atom
# - Energy of formation: -223 meV/atom